Material: MnAlPO2
Method: DFT, PBE with a Hubbard U
State: optimized geometry

Summary:
**Electronic total energy**: -5.80 eV per atom
**E above lowest polymorph**: 470 meV per atom
**ρ**: 3.53 Mg/m³
**V**: 68.2 Å³/cell
**N(E_F)**: 1.82 states/eV/f.u.

```
data_MnAlPO2
_chemical_formula_sum 'Mn1 Al1 P1 O2'
_symmetry_space_group_name_H-M 'P 1'
_symmetry_Int_Tables_number 1
_symmetry_space_group_name_Hall 'P 1'
_cell_length_a 3.683
_cell_length_b 3.683
_cell_length_c 5.025
_cell_angle_alpha 90.00
_cell_angle_beta 90.00
_cell_angle_gamma 90.00
loop_
_atom_site_label
_atom_site_fract_x
_atom_site_fract_y
_atom_site_fract_z
Al1 0.500 0.500 0.500
O1 0.500 0.000 0.000
O2 0.000 0.500 0.000
Mn1 0.000 0.000 0.000
P1 0.000 0.000 0.500
```